First-principles (PBEsol) data for crystalline Y2Sc at its relaxed geometry, as listed in Alexandria.

Output
- Formation energy from the elements: 0.07 eV per atom
- Fermi-level density of states: 2.0162 states/eV/atom
- Offset from the most stable computed form: 46 meV/atom
- Final energy: -6.681 eV/atom
- Calculated density: 4.38 g/cm³

a b c (Å): 5.369 5.369 6.762
angles (deg): 90.00 90.00 120.00
Fractional coordinates of all 6 atoms:
Y 0.000 0.000 0.000
Y 0.000 0.000 0.500
Y 0.667 0.333 0.250
Y 0.333 0.667 0.750
Sc 0.667 0.333 0.750
Sc 0.333 0.667 0.250